1.
! AlCoAs3 (PBE-GGA, relaxed); values from VASP
! - VASP energy (eV/f.u.) = -19.68
! - crystal system = cubic
! - size of the total moment (μB per cell) = 1.45
! - symmetry = Pm-3m, No. 221
! - ΔH_f (0 K) (eV per atom) = 1.02
! - calculated volume (Å³ per atom) = 21.9
! - D(E_F) (states/eV per atom) = 1.929
&SYSTEM
  ibrav = 0, nat = 5, ntyp = 3
/
ATOMIC_SPECIES
Al 26.98 Al.upf
Co 58.93 Co.upf
As 74.92 As.upf
ATOMIC_POSITIONS angstrom
Al 0.000 0.000 0.000
Co 2.391 2.391 2.391
As 0.000 0.000 2.391
As 0.000 2.391 0.000
As 2.391 0.000 0.000
CELL_PARAMETERS angstrom
4.781 0.000 0.000
0.000 4.781 0.000
0.000 0.000 4.781

---

2.
! Al2CoAs (PBE-GGA, relaxed); values from VASP
! - VASP energy (eV/f.u.) = -19.30
! - crystal system = tetragonal
! - size of the total moment (μB per cell) = 0.00
! - symmetry = P4/mmm, No. 123
! - ΔH_f (0 K) (eV per atom) = -0.01
! - calculated volume (Å³ per atom) = 14.5
! - D(E_F) (states/eV per atom) = 0.370
&SYSTEM
  ibrav = 0, nat = 4, ntyp = 3
/
ATOMIC_SPECIES
Al 26.98 Al.upf
Co 58.93 Co.upf
As 74.92 As.upf
ATOMIC_POSITIONS angstrom
Al 0.000 2.050 0.000
Al 2.050 0.000 0.000
Co 0.000 0.000 1.720
As 2.050 2.050 1.720
CELL_PARAMETERS angstrom
4.099 0.000 0.000
0.000 4.099 0.000
0.000 0.000 3.441

---

3.
! AlCoAs2 (PBE-GGA, relaxed); values from VASP
! - VASP energy (eV/f.u.) = -19.41
! - crystal system = orthorhombic
! - size of the total moment (μB per cell) = 0.00
! - symmetry = Cmmm, No. 65
! - ΔH_f (0 K) (eV per atom) = 0.18
! - calculated volume (Å³ per atom) = 15.5
! - D(E_F) (states/eV per atom) = 0.699
&SYSTEM
  ibrav = 0, nat = 4, ntyp = 3
/
ATOMIC_SPECIES
Al 26.98 Al.upf
Co 58.93 Co.upf
As 74.92 As.upf
ATOMIC_POSITIONS angstrom
Al 0.000 0.000 0.000
Co 2.664 0.000 0.000
As 1.332 1.714 1.693
As 1.332 -1.714 1.693
CELL_PARAMETERS angstrom
2.664 -3.427 0.000
2.664 3.427 0.000
0.000 0.000 3.387

---

4.
! Al2CoAs (PBE-GGA, relaxed); values from VASP
! - VASP energy (eV/f.u.) = -17.76
! - crystal system = tetragonal
! - size of the total moment (μB per cell) = 0.00
! - symmetry = I-42d, No. 122
! - ΔH_f (0 K) (eV per atom) = 0.37
! - calculated volume (Å³ per atom) = 21.8
! - D(E_F) (states/eV per atom) = 0.004
&SYSTEM
  ibrav = 0, nat = 8, ntyp = 3
/
ATOMIC_SPECIES
Al 26.98 Al.upf
Co 58.93 Co.upf
As 74.92 As.upf
ATOMIC_POSITIONS angstrom
Al 4.271 1.304 -1.342
Al 1.304 1.424 1.342
Al -1.424 1.544 4.026
Al 1.544 1.424 6.710
Co 0.000 0.000 0.000
Co 0.000 2.847 2.684
As 2.847 0.000 2.684
As 0.000 0.000 5.368
CELL_PARAMETERS angstrom
-2.847 2.847 5.368
2.847 -2.847 5.368
2.847 2.847 -5.368

---

5.
! Al2CoAs (PBE-GGA, relaxed); values from VASP
! - VASP energy (eV/f.u.) = -19.38
! - crystal system = tetragonal
! - size of the total moment (μB per cell) = 0.00
! - symmetry = P4mm, No. 99
! - ΔH_f (0 K) (eV per atom) = -0.04
! - calculated volume (Å³ per atom) = 15.0
! - D(E_F) (states/eV per atom) = 0.362
&SYSTEM
  ibrav = 0, nat = 4, ntyp = 3
/
ATOMIC_SPECIES
Al 26.98 Al.upf
Co 58.93 Co.upf
As 74.92 As.upf
ATOMIC_POSITIONS angstrom
Al 0.000 0.000 0.000
Al 1.683 1.683 1.563
Co 1.683 1.683 4.427
As 0.000 0.000 2.759
CELL_PARAMETERS angstrom
3.367 0.000 0.000
0.000 3.367 0.000
0.000 0.000 5.283

---

6.
! AlCoAs2 (PBE-GGA, relaxed); values from VASP
! - VASP energy (eV/f.u.) = -19.35
! - crystal system = orthorhombic
! - size of the total moment (μB per cell) = 0.00
! - symmetry = Imm2, No. 44
! - ΔH_f (0 K) (eV per atom) = 0.20
! - calculated volume (Å³ per atom) = 15.7
! - D(E_F) (states/eV per atom) = 0.634
&SYSTEM
  ibrav = 0, nat = 4, ntyp = 3
/
ATOMIC_SPECIES
Al 26.98 Al.upf
Co 58.93 Co.upf
As 74.92 As.upf
ATOMIC_POSITIONS angstrom
Al 0.000 0.000 0.000
Co 0.000 2.206 2.098
As 1.694 0.000 2.215
As 0.000 0.000 4.594
CELL_PARAMETERS angstrom
-1.694 2.206 4.190
1.694 -2.206 4.190
1.694 2.206 -4.190

---

7.
! Al2CoAs (PBE-GGA, relaxed); values from VASP
! - VASP energy (eV/f.u.) = -19.71
! - crystal system = tetragonal
! - size of the total moment (μB per cell) = 0.53
! - symmetry = P4mm, No. 99
! - ΔH_f (0 K) (eV per atom) = -0.12
! - calculated volume (Å³ per atom) = 15.1
! - D(E_F) (states/eV per atom) = 0.546
&SYSTEM
  ibrav = 0, nat = 4, ntyp = 3
/
ATOMIC_SPECIES
Al 26.98 Al.upf
Co 58.93 Co.upf
As 74.92 As.upf
ATOMIC_POSITIONS angstrom
Al 0.000 0.000 0.000
Al 1.429 1.429 2.020
Co 1.429 1.429 5.847
As 0.000 0.000 4.420
CELL_PARAMETERS angstrom
2.859 0.000 0.000
0.000 2.859 0.000
0.000 0.000 7.391

---

8.
! Al2CoAs (PBE-GGA, relaxed); values from VASP
! - VASP energy (eV/f.u.) = -20.04
! - crystal system = tetragonal
! - size of the total moment (μB per cell) = 0.00
! - symmetry = P4/mmm, No. 123
! - ΔH_f (0 K) (eV per atom) = -0.20
! - calculated volume (Å³ per atom) = 14.9
! - D(E_F) (states/eV per atom) = 0.410
&SYSTEM
  ibrav = 0, nat = 4, ntyp = 3
/
ATOMIC_SPECIES
Al 26.98 Al.upf
Co 58.93 Co.upf
As 74.92 As.upf
ATOMIC_POSITIONS angstrom
Al 0.000 0.000 1.482
Al 0.000 0.000 6.144
Co 1.396 1.396 0.000
As 1.396 1.396 3.813
CELL_PARAMETERS angstrom
2.792 0.000 0.000
0.000 2.792 0.000
0.000 0.000 7.626

---

9.
! Al2CoAs (PBE-GGA, relaxed); values from VASP
! - VASP energy (eV/f.u.) = -19.34
! - crystal system = orthorhombic
! - size of the total moment (μB per cell) = 0.00
! - symmetry = Cmmm, No. 65
! - ΔH_f (0 K) (eV per atom) = -0.03
! - calculated volume (Å³ per atom) = 14.3
! - D(E_F) (states/eV per atom) = 0.547
&SYSTEM
  ibrav = 0, nat = 4, ntyp = 3
/
ATOMIC_SPECIES
Al 26.98 Al.upf
Co 58.93 Co.upf
As 74.92 As.upf
ATOMIC_POSITIONS angstrom
Al 1.308 1.869 0.000
Al 1.308 -1.869 0.000
Co 0.000 0.000 1.465
As 2.615 0.000 1.465
CELL_PARAMETERS angstrom
2.615 -3.737 0.000
2.615 3.737 0.000
0.000 0.000 2.930

---

10.
! Al2Co2As (PBE-GGA, relaxed); values from VASP
! - VASP energy (eV/f.u.) = -27.40
! - crystal system = tetragonal
! - size of the total moment (μB per cell) = 0.00
! - symmetry = P4/mbm, No. 127
! - ΔH_f (0 K) (eV per atom) = -0.21
! - calculated volume (Å³ per atom) = 13.3
! - D(E_F) (states/eV per atom) = 0.720
&SYSTEM
  ibrav = 0, nat = 10, ntyp = 3
/
ATOMIC_SPECIES
Al 26.98 Al.upf
Co 58.93 Co.upf
As 74.92 As.upf
ATOMIC_POSITIONS angstrom
Al 0.975 2.449 0.000
Al 2.449 5.873 0.000
Al 4.399 0.975 0.000
Al 5.873 4.399 0.000
Co 1.049 4.473 1.416
Co 2.375 1.049 1.416
Co 4.473 5.799 1.416
Co 5.799 2.375 1.416
As 0.000 0.000 1.416
As 3.424 3.424 1.416
CELL_PARAMETERS angstrom
6.848 0.000 0.000
0.000 6.848 0.000
0.000 0.000 2.833

---

11.
! AlCo3As (PBE-GGA, relaxed); values from VASP
! - VASP energy (eV/f.u.) = -27.10
! - crystal system = cubic
! - size of the total moment (μB per cell) = 2.75
! - symmetry = Pm-3m, No. 221
! - ΔH_f (0 K) (eV per atom) = 0.52
! - calculated volume (Å³ per atom) = 15.5
! - D(E_F) (states/eV per atom) = 0.758
&SYSTEM
  ibrav = 0, nat = 5, ntyp = 3
/
ATOMIC_SPECIES
Al 26.98 Al.upf
Co 58.93 Co.upf
As 74.92 As.upf
ATOMIC_POSITIONS angstrom
Al 0.000 0.000 0.000
Co 0.000 2.133 2.133
Co 2.133 0.000 2.133
Co 2.133 2.133 0.000
As 2.133 2.133 2.133
CELL_PARAMETERS angstrom
4.265 0.000 0.000
0.000 4.265 0.000
0.000 0.000 4.265

---

12.
! AlCoAs2 (PBE-GGA, relaxed); values from VASP
! - VASP energy (eV/f.u.) = -19.47
! - crystal system = monoclinic
! - size of the total moment (μB per cell) = 0.00
! - symmetry = C2/m, No. 12
! - ΔH_f (0 K) (eV per atom) = 0.17
! - calculated volume (Å³ per atom) = 15.8
! - D(E_F) (states/eV per atom) = 0.604
&SYSTEM
  ibrav = 0, nat = 4, ntyp = 3
/
ATOMIC_SPECIES
Al 26.98 Al.upf
Co 58.93 Co.upf
As 74.92 As.upf
ATOMIC_POSITIONS angstrom
Al 0.000 0.000 0.000
Co 2.645 0.000 0.000
As 0.826 1.736 1.720
As 0.826 -1.736 1.720
CELL_PARAMETERS angstrom
2.645 -3.473 0.000
2.645 3.473 0.000
-0.994 0.000 3.440

---

13.
! Al2CoAs (PBE-GGA, relaxed); values from VASP
! - VASP energy (eV/f.u.) = -19.99
! - crystal system = monoclinic
! - size of the total moment (μB per cell) = 0.00
! - symmetry = Cm, No. 8
! - ΔH_f (0 K) (eV per atom) = -0.19
! - calculated volume (Å³ per atom) = 16.2
! - D(E_F) (states/eV per atom) = 0.533
&SYSTEM
  ibrav = 0, nat = 4, ntyp = 3
/
ATOMIC_SPECIES
Al 26.98 Al.upf
Co 58.93 Co.upf
As 74.92 As.upf
ATOMIC_POSITIONS angstrom
Al 0.000 0.000 0.000
Al -0.009 0.000 3.557
Co 2.340 0.000 3.428
As 6.389 0.000 1.496
CELL_PARAMETERS angstrom
4.272 -1.403 0.000
4.272 1.403 0.000
-2.304 0.000 5.400

---

14.
! Al2CoAs (PBE-GGA, relaxed); values from VASP
! - VASP energy (eV/f.u.) = -19.10
! - crystal system = tetragonal
! - size of the total moment (μB per cell) = 0.00
! - symmetry = I-4m2, No. 119
! - ΔH_f (0 K) (eV per atom) = 0.04
! - calculated volume (Å³ per atom) = 14.6
! - D(E_F) (states/eV per atom) = 0.593
&SYSTEM
  ibrav = 0, nat = 4, ntyp = 3
/
ATOMIC_SPECIES
Al 26.98 Al.upf
Co 58.93 Co.upf
As 74.92 As.upf
ATOMIC_POSITIONS angstrom
Al 0.000 0.000 0.000
Al 0.000 1.919 1.979
Co 0.000 0.000 3.958
As 1.919 0.000 1.979
CELL_PARAMETERS angstrom
-1.919 1.919 3.958
1.919 -1.919 3.958
1.919 1.919 -3.958

---

15.
! AlCoAs4 (PBE-GGA, relaxed); values from VASP
! - VASP energy (eV/f.u.) = -25.27
! - crystal system = cubic
! - size of the total moment (μB per cell) = 2.08
! - symmetry = F-43m, No. 216
! - ΔH_f (0 K) (eV per atom) = 0.70
! - calculated volume (Å³ per atom) = 19.5
! - D(E_F) (states/eV per atom) = 0.909
&SYSTEM
  ibrav = 0, nat = 6, ntyp = 3
/
ATOMIC_SPECIES
Al 26.98 Al.upf
Co 58.93 Co.upf
As 74.92 As.upf
ATOMIC_POSITIONS angstrom
Al 0.000 0.000 0.000
Co 1.941 1.941 1.941
As 4.853 2.912 2.912
As 2.912 4.853 2.912
As 2.912 2.912 4.853
As 4.853 4.853 4.853
CELL_PARAMETERS angstrom
0.000 3.882 3.882
3.882 0.000 3.882
3.882 3.882 0.000